Computed, not measured: a relaxed structure of Y2TlSb at the GGA-PBEsol level of DFT.

Lattice parameters (Å, degrees): 4.3871 4.2956 6.0928 90.01 111.10 90.00
Positions (direct):
Tl  0.2740  0.8749  0.5478
Sb  0.4714  0.3751  0.9428
Y  0.7442  0.3749  0.4884
Y  0.0104  0.8751  0.0209

formation energy (no corrections): -0.76 eV/atom
V: 107 Å³/f.u.
DOS at the Fermi energy: 2.3 states/eV per cell
space-group type: Amm2
magnetic moment: 0.00 μB/f.u.